Here is crystalline CoTe at its relaxed geometry from OQMD via LeMat-Bulk. Energies are from PBE.

* electronic total energy: -4.86 eV/atom
* calculated density: 6.95 g/cm3
* total magnetic moment: 0.005 μB per atom
* space-group type: Cmcm, No. 63

Geometry as POSCAR:
```
CoTe
1.0
2.0158 -3.6009 0.0000
2.0158 3.6009 0.0000
0.0000 0.0000 18.4149
Te Co
6 6
direct
0.5334 0.4666 0.9167
0.2816 0.7184 0.2500
0.5334 0.4666 0.5833
0.4666 0.5334 0.4167
0.4666 0.5334 0.0833
0.7184 0.2816 0.7500
0.8710 0.1290 0.8716
0.9508 0.0492 0.2500
0.0492 0.9508 0.7500
0.1290 0.8710 0.1284
0.8710 0.1290 0.6284
0.1290 0.8710 0.3716
```